(1)
Computed, not measured: a relaxed structure of BaCrTcAg2 at the PBEsol level of DFT.

extended XYZ file:
```
5
Lattice="5.2440 0.0000 0.0000 0.0000 5.2440 0.0000 0.0000 0.0000 4.3950" Properties=species:S:1:pos:R:3 pbc="T T T"
Ba 0.0000 0.0000 0.0000
Cr 2.6220 2.6220 0.0000
Tc 2.6220 2.6220 2.1975
Ag 0.0000 2.6220 2.1975
Ag 2.6220 0.0000 2.1975
```

Computed properties:
Space-group type: No. 123
Energy of formation in kcal/mol of atoms: 16.32

---

(2)
Computed, not measured: a relaxed structure of CsBa3Ag at the PBEsol level of DFT.

extended XYZ file:
```
5
Lattice="6.6236 0.0000 0.0000 0.0000 6.6236 0.0000 0.0000 0.0000 6.6236" Properties=species:S:1:pos:R:3 pbc="T T T"
Cs 0.0000 0.0000 0.0000
Ba 0.0000 3.3118 3.3118
Ba 3.3118 0.0000 3.3118
Ba 3.3118 3.3118 0.0000
Ag 3.3118 3.3118 3.3118
```

Computed properties:
Space-group type: No. 221
Energy of formation in kcal/mol of atoms: 0.17

---

(3)
Computed, not measured: a relaxed structure of Ba2CuAg at the PBEsol level of DFT.

extended XYZ file:
```
4
Lattice="4.6566 0.0000 0.0000 0.0000 2.2829 6.1801 0.0000 -2.2829 6.1801" Properties=species:S:1:pos:R:3 pbc="T T T"
Ba 0.0000 0.0000 0.0000
Ba 2.3283 0.0000 3.4276
Cu 0.0000 0.0000 8.5656
Ag 2.3283 0.0000 7.1875
```

Computed properties:
Space-group type: No. 38
Energy of formation in kcal/mol of atoms: -1.65

---

(4)
Computed, not measured: a relaxed structure of BaCuAg2 at the PBEsol level of DFT.

extended XYZ file:
```
4
Lattice="4.2059 0.0000 0.0000 0.0000 4.2059 0.0000 0.0000 0.0000 5.2337" Properties=species:S:1:pos:R:3 pbc="T T T"
Ba 0.0000 0.0000 0.0000
Cu 2.1029 2.1029 0.0000
Ag 0.0000 2.1029 2.6169
Ag 2.1029 0.0000 2.6169
```

Computed properties:
Space-group type: No. 123
Energy of formation in kcal/mol of atoms: 7.25

---

(5)
Computed, not measured: a relaxed structure of Ba2CuAg at the PBEsol level of DFT.

extended XYZ file:
```
4
Lattice="3.9258 0.0000 0.0000 0.0000 3.9258 0.0000 0.0000 0.0000 7.8909" Properties=species:S:1:pos:R:3 pbc="T T T"
Ba 0.0000 0.0000 1.8928
Ba 0.0000 0.0000 5.9981
Cu 1.9629 1.9629 0.0000
Ag 1.9629 1.9629 3.9454
```

Computed properties:
Space-group type: No. 123
Energy of formation in kcal/mol of atoms: -0.30

---

(6)
Computed, not measured: a relaxed structure of Ba2CuAg at the PBEsol level of DFT.

extended XYZ file:
```
4
Lattice="-2.2017 2.2329 7.5261 2.2017 -2.2329 7.5261 2.2017 2.2329 -7.5261" Properties=species:S:1:pos:R:3 pbc="T T T"
Ba 0.0000 0.0000 0.0000
Ba 0.0000 2.2329 3.7176
Cu 2.2017 0.0000 2.4868
Ag 0.0000 0.0000 8.7291
```

Computed properties:
Space-group type: No. 44
Energy of formation in kcal/mol of atoms: 0.19

---

(7)
Computed, not measured: a relaxed structure of BaCuAgIr2 at the PBEsol level of DFT.

extended XYZ file:
```
5
Lattice="5.0550 0.0000 0.0000 0.0000 5.0550 0.0000 0.0000 0.0000 5.4118" Properties=species:S:1:pos:R:3 pbc="T T T"
Ba 0.0000 0.0000 0.0000
Cu 2.5275 2.5275 2.7059
Ag 0.0000 0.0000 2.7059
Ir 0.0000 2.5275 0.0000
Ir 2.5275 0.0000 0.0000
```

Computed properties:
Space-group type: No. 123
Energy of formation in kcal/mol of atoms: 61.23

---

(8)
Computed, not measured: a relaxed structure of BaCuNi2Ag at the PBEsol level of DFT.

extended XYZ file:
```
5
Lattice="4.7991 0.0000 0.0000 0.0000 4.7991 0.0000 0.0000 0.0000 5.1715" Properties=species:S:1:pos:R:3 pbc="T T T"
Ba 0.0000 0.0000 0.0000
Cu 0.0000 0.0000 2.5858
Ni 0.0000 2.3995 0.0000
Ni 2.3995 0.0000 0.0000
Ag 2.3995 2.3995 2.5858
```

Computed properties:
Space-group type: No. 123
Energy of formation in kcal/mol of atoms: 42.86

---

(9)
Computed, not measured: a relaxed structure of BaCuTc2Ag at the PBEsol level of DFT.

extended XYZ file:
```
5
Lattice="4.6402 0.0000 0.0000 0.0000 4.6402 0.0000 0.0000 0.0000 5.5388" Properties=species:S:1:pos:R:3 pbc="T T T"
Ba 0.0000 0.0000 0.0000
Cu 0.0000 0.0000 2.7694
Tc 0.0000 2.3201 2.7694
Tc 2.3201 0.0000 2.7694
Ag 2.3201 2.3201 0.0000
```

Computed properties:
Space-group type: No. 123
Energy of formation in kcal/mol of atoms: 36.56

---

(10)
Computed, not measured: a relaxed structure of BaAgF2 at the PBEsol level of DFT.

extended XYZ file:
```
4
Lattice="2.0555 1.1868 6.3778 -2.0555 1.1868 6.3778 0.0000 -2.3735 6.3778" Properties=species:S:1:pos:R:3 pbc="T T T"
Ba 0.0000 0.0000 0.0000
Ag 0.0000 0.0000 9.5667
F 0.0000 0.0000 2.4113
F 0.0000 0.0000 16.7221
```

Computed properties:
Formation energy (no corrections) in eV per formula unit: -6.255
Space-group type: No. 166

---

(11)
Computed, not measured: a relaxed structure of BaMgAgF7 at the PBEsol level of DFT.

extended XYZ file:
```
40
Lattice="5.6149 0.0000 0.0000 0.0000 9.9725 0.0000 -0.4851 0.0000 9.7111" Properties=species:S:1:pos:R:3 pbc="T T T"
Ba 1.3010 1.7752 0.0169
Ba 1.0584 3.2110 4.8724
Ba 4.0714 6.7614 4.8386
Ba 3.8288 8.1972 9.6942
Mg 0.6860 6.0405 7.8488
Mg 0.9286 8.9182 2.9933
Mg 4.2012 1.0542 6.7177
Mg 4.4438 3.9320 1.8622
Ag 1.6307 6.0972 1.7868
Ag 1.3881 8.8615 6.6423
Ag 3.7417 1.1110 3.0688
Ag 3.4991 3.8753 7.9243
F -0.0541 7.1825 2.4141
F -0.2966 7.7762 7.2696
F 0.2548 5.3503 6.1240
F 0.4974 9.6084 1.2685
F 0.4097 0.6092 6.0355
F 0.6523 4.3770 1.1800
F 0.8710 6.9897 9.6212
F 1.1136 7.9690 4.7657
F 1.8620 0.5208 3.6996
F 1.6195 4.4655 8.5552
F 2.0683 5.3851 3.6486
F 1.8257 9.5736 8.5042
F 2.3317 7.0911 7.2659
F 2.5742 7.8676 2.4104
F 2.5556 2.1048 7.3007
F 2.7981 2.8814 2.4451
F 3.3041 0.3989 1.2069
F 3.0615 4.5874 6.0624
F 3.5103 5.5070 1.1559
F 3.2678 9.4517 6.0114
F 4.0162 2.0034 4.9454
F 4.2588 2.9828 0.0899
F 4.4775 5.5954 8.5311
F 4.7201 9.3633 3.6755
F 4.6324 0.3641 8.4426
F 4.8750 4.6221 3.5870
F 5.4264 2.1963 2.4414
F 5.1839 2.7900 7.2970
```

Computed properties:
Formation energy (no corrections) in eV per formula unit: -26.252
Space-group type: No. 14

---

(12)
Computed, not measured: a relaxed structure of BaAgNF2 at the PBEsol level of DFT.

extended XYZ file:
```
5
Lattice="4.5061 0.0000 0.0000 0.0000 4.5061 0.0000 0.0000 0.0000 3.9886" Properties=species:S:1:pos:R:3 pbc="T T T"
Ba 0.0000 0.0000 0.0000
Ag 2.2530 2.2530 1.9943
N 2.2530 2.2530 0.0000
F 0.0000 2.2530 1.9943
F 2.2530 0.0000 1.9943
```

Computed properties:
Formation energy (no corrections) in eV per formula unit: -6.151
Space-group type: No. 123

---

| no. | calculated total energy (eV/atom) | size of the total moment (μB per formula unit) |
| --- | --- | --- |
| 1 | -5.348 | 1.98 |
| 2 | -2.133 | 0.00 |
| 3 | -3.057 | 0.00 |
| 4 | -2.962 | 0.00 |
| 5 | -2.999 | 0.00 |
| 6 | -2.977 | 0.00 |
| 7 | -3.233 | 0.00 |
| 8 | -2.563 | 0.00 |
| 9 | -4.880 | 4.73 |
| 10 | -3.893 | 0.34 |
| 11 | -4.692 | 2.02 |
| 12 | -4.799 | 1.08 |